Entry from Alexandria via LeMat-Bulk: crystalline Rb3LiCu2F6 at its relaxed geometry (GGA-PBE).

It has space group P-3m1 (No. 164), with a = 6.2129 Å, b = 6.2129 Å, c = 7.0324 Å, α = 90.00°, β = 90.00° and γ = 120.00°. The asymmetric unit holds Rb at (0.0000, 0.0000, 0.0000), Rb at (0.3333, 0.6667, 0.6833), Li at (0.0000, 0.0000, 0.5000), Cu at (0.3333, 0.6667, 0.2522) and F at (0.1558, 0.3116, 0.3093).

The uncorrected formation energy is -2.05 eV/atom. The value obtained for the total moment is 0.23 μB per cell. The value obtained for the density is 3.56 Mg/m³.